Ta2ZnB2 | PBE | optimized geometry

Geometry as POSCAR:
```
Ta2ZnB2
1.0
1.5386 -5.9095 0.0000
1.5386 5.9095 0.0000
0.0000 0.0000 3.2891
Zn Ta B
1 2 2
direct
0.0000 0.0000 0.0000
0.6408 0.3592 0.5000
0.3592 0.6408 0.5000
0.2125 0.7875 0.0000
0.7875 0.2125 0.0000
```

Summary:
Total DFT energy (no corrections), eV per atom: -8.124
M_tot, Bohr magnetons per cell: 0.00
V, A^3/atom: 11.96